Ba2ReNi: single point on PBEsol structure, SCAN.

a = 5.506 Å, b = 5.506 Å, c = 3.431 Å
α = 90.00°, β = 90.00°, γ = 90.00°
Space group P4/mmm (No. 123)
Unique sites:
Ba 0.000 0.500 0.000 (multiplicity 2)
Re 0.000 0.000 0.500 (multiplicity 1)
Ni 0.500 0.500 0.500 (multiplicity 1)

Computed properties:
The calculation puts the calculated volume at 26.00 Å³ per atom. The value obtained for the energy is -40.4070 eV per atom. The offset from the most stable computed form comes out at 0.0 meV/atom.

BaReNi2: single point on PBEsol structure, SCAN.

a = 2.896 Å, b = 3.351 Å, c = 7.258 Å
α = 90.00°, β = 90.00°, γ = 90.00°
Space group Pmmm (No. 47)
Unique sites:
Ba 0.000 0.000 0.000 (multiplicity 1)
Re 0.000 0.000 0.500 (multiplicity 1)
Ni 0.500 0.500 0.334 (multiplicity 2)

Computed properties:
The calculation puts the calculated volume at 17.61 Å³ per atom. The value obtained for the energy is -35.2186 eV per atom. The offset from the most stable computed form comes out at 0.0 meV/atom.

BaReNi2: single point on PBEsol structure, SCAN.

a = 6.561 Å, b = 6.561 Å, c = 6.561 Å
α = 90.00°, β = 90.00°, γ = 90.00°
Space group Fm-3m (No. 225)
Unique sites:
Ba 0.000 0.000 0.000 (multiplicity 4)
Re 0.000 0.000 0.500 (multiplicity 4)
Ni 0.250 0.250 0.250 (multiplicity 8)

Computed properties:
The calculation puts the calculated volume at 17.65 Å³ per atom. The value obtained for the energy is -34.5196 eV per atom. The offset from the most stable computed form comes out at 699.0 meV/atom.

BaReNi2: single point on PBEsol structure, SCAN.

a = 4.097 Å, b = 5.632 Å, c = 6.950 Å
α = 90.00°, β = 90.00°, γ = 90.00°
Space group Immm (No. 71)
Unique sites:
Ba 0.000 0.000 0.000 (multiplicity 2)
Re 0.000 0.000 0.500 (multiplicity 2)
Ni 0.000 0.500 0.176 (multiplicity 4)

Computed properties:
The calculation puts the calculated volume at 20.05 Å³ per atom. The value obtained for the energy is -34.7218 eV per atom. The offset from the most stable computed form comes out at 496.8 meV/atom.

Ba2NiRh: single point on PBEsol structure, SCAN.

a = 3.517 Å, b = 3.517 Å, c = 8.933 Å
α = 90.00°, β = 90.00°, γ = 90.00°
Space group P4mm (No. 99)
Unique sites:
Ba 0.000 0.000 0.000 (multiplicity 1)
Ba 0.500 0.500 0.444 (multiplicity 1)
Ni 0.000 0.000 0.687 (multiplicity 1)
Rh 0.500 0.500 0.757 (multiplicity 1)

Computed properties:
The calculation puts the calculated volume at 27.63 Å³ per atom. The value obtained for the energy is -32.0277 eV per atom.

Ba2NiRh: single point on PBEsol structure, SCAN.

a = 4.434 Å, b = 4.716 Å, c = 10.846 Å
α = 90.00°, β = 90.00°, γ = 90.00°
Space group Amm2 (No. 38)
Unique sites:
Ba 0.000 0.000 0.000 (multiplicity 2)
Ba 0.500 0.000 0.291 (multiplicity 2)
Ni 0.000 0.000 0.685 (multiplicity 2)
Rh 0.500 0.000 0.611 (multiplicity 2)

Computed properties:
The calculation puts the calculated volume at 28.35 Å³ per atom. The value obtained for the energy is -32.3435 eV per atom.

BaNi2Rh: single point on PBEsol structure, SCAN.

a = 3.160 Å, b = 3.160 Å, c = 6.967 Å
α = 90.00°, β = 90.00°, γ = 90.00°
Space group P4/mmm (No. 123)
Unique sites:
Ba 0.000 0.000 0.000 (multiplicity 1)
Ni 0.500 0.500 0.332 (multiplicity 2)
Rh 0.000 0.000 0.500 (multiplicity 1)

Computed properties:
The calculation puts the calculated volume at 17.39 Å³ per atom. The value obtained for the energy is -25.9970 eV per atom.

BaNi2Rh: single point on PBEsol structure, SCAN.

a = 4.1708 Å, b = 4.1708 Å, c = 16.0284 Å
α = 90.00°, β = 90.00°, γ = 120.00°
Space group R-3m (No. 166, hexagonal axes)
Unique sites:
Ba 0.0000 0.0000 0.0000 (multiplicity 3)
Ni 0.0000 0.0000 0.1835 (multiplicity 6)
Rh 0.0000 0.0000 0.5000 (multiplicity 3)

Computed properties:
The calculation puts the calculated volume at 20.12 Å³ per atom. The value obtained for the energy is -26.4609 eV per atom.